Cu4Ag5: relaxed, GGA-PBE.

a = 2.830 Å, b = 8.312 Å, c = 11.787 Å
α = 90.00°, β = 90.00°, γ = 90.00°
Space group Immm (No. 71)
One atom of each set of equivalent atoms:
Cu (0.000, 0.000, 0.155) [4 per cell]
Cu (0.000, 0.350, 0.500) [4 per cell]
Ag (0.000, 0.000, 0.500) [2 per cell]
Ag (0.000, 0.327, 0.165) [8 per cell]

Results
Crystal system   orthorhombic
Energy relative to the lowest polymorph listed for this composition   67 meV/atom

Cu8Ag: relaxed, GGA-PBE.

a = 8.238 Å, b = 3.676 Å, c = 7.820 Å
α = 90.00°, β = 108.65°, γ = 90.00°
Space group C2/m (No. 12)
One atom of each set of equivalent atoms:
Cu (0.003, 0.000, 0.341) [4 per cell]
Cu (0.164, 0.500, 0.878) [4 per cell]
Cu (0.166, 0.500, 0.554) [4 per cell]
Cu (0.175, 0.500, 0.234) [4 per cell]
Ag (0.000, 0.000, 0.000) [2 per cell]

Results
Crystal system   monoclinic
Energy relative to the lowest polymorph listed for this composition   6 meV/atom

Cu3Ag5: relaxed, GGA-PBE.

a = 6.942 Å, b = 2.829 Å, c = 6.958 Å
α = 90.00°, β = 114.15°, γ = 90.00°
Space group P2/m (No. 10)
One atom of each set of equivalent atoms:
Cu (0.000, 0.000, 0.000) [1 per cell]
Cu (0.338, 0.500, 0.130) [2 per cell]
Ag (0.105, 0.500, 0.363) [2 per cell]
Ag (0.296, 0.000, 0.787) [2 per cell]
Ag (0.500, 0.000, 0.500) [1 per cell]

Results
Crystal system   monoclinic
Energy relative to the lowest polymorph listed for this composition   35 meV/atom

Cu3Ag2: relaxed, GGA-PBE.

a = 2.820 Å, b = 2.820 Å, c = 17.930 Å
α = 90.00°, β = 90.00°, γ = 90.00°
Space group P4mm (No. 99)
One atom of each set of equivalent atoms:
Cu (0.000, 0.000, 0.000) [1 per cell]
Cu (0.000, 0.000, 0.169) [1 per cell]
Cu (0.000, 0.000, 0.790) [1 per cell]
Cu (0.500, 0.500, 0.085) [1 per cell]
Cu (0.500, 0.500, 0.498) [1 per cell]
Cu (0.500, 0.500, 0.706) [1 per cell]
Ag (0.000, 0.000, 0.395) [1 per cell]
Ag (0.000, 0.000, 0.602) [1 per cell]
Ag (0.500, 0.500, 0.273) [1 per cell]
Ag (0.500, 0.500, 0.895) [1 per cell]

Results
Crystal system   tetragonal
Energy relative to the lowest polymorph listed for this composition   32 meV/atom

Cu3Ag7: relaxed, GGA-PBE.

a = 6.956 Å, b = 2.877 Å, c = 8.299 Å
α = 90.00°, β = 103.76°, γ = 90.00°
Space group P2/m (No. 10)
One atom of each set of equivalent atoms:
Cu (0.000, 0.000, 0.000) [1 per cell]
Cu (0.413, 0.000, 0.202) [2 per cell]
Ag (0.114, 0.500, 0.282) [2 per cell]
Ag (0.196, 0.000, 0.605) [2 per cell]
Ag (0.298, 0.500, 0.916) [2 per cell]
Ag (0.500, 0.500, 0.500) [1 per cell]

Results
Crystal system   monoclinic
Energy relative to the lowest polymorph listed for this composition   40 meV/atom

Cu29Ag11: relaxed, GGA-PBE.

a = 5.373 Å, b = 9.172 Å, c = 11.321 Å
α = 73.44°, β = 89.69°, γ = 89.84°
Space group P1 (No. 1)
One atom of each set of equivalent atoms:
Cu (0.000, 0.000, 0.000) [1 per cell]
Cu (0.000, 0.092, 0.203) [1 per cell]
Cu (0.001, 0.406, 0.812) [1 per cell]
Cu (0.003, 0.906, 0.798) [1 per cell]
Cu (0.006, 0.206, 0.401) [1 per cell]
Cu (0.006, 0.817, 0.605) [1 per cell]
Cu (0.007, 0.517, 0.989) [1 per cell]
Cu (0.254, 0.669, 0.798) [1 per cell]
Cu (0.261, 0.773, 0.988) [1 per cell]
Cu (0.265, 0.868, 0.184) [1 per cell]
Cu (0.266, 0.342, 0.213) [1 per cell]
Cu (0.267, 0.049, 0.605) [1 per cell]
Cu (0.269, 0.447, 0.396) [1 per cell]
Cu (0.512, 0.298, 0.598) [1 per cell]
Cu (0.514, 0.614, 0.193) [1 per cell]
Cu (0.515, 0.815, 0.606) [1 per cell]
Cu (0.516, 0.207, 0.409) [1 per cell]
Cu (0.519, 0.903, 0.799) [1 per cell]
Cu (0.520, 0.096, 0.201) [1 per cell]
Cu (0.520, 0.400, 0.807) [1 per cell]
Cu (0.522, 0.001, 0.000) [1 per cell]
Cu (0.752, 0.450, 0.397) [1 per cell]
Cu (0.754, 0.051, 0.603) [1 per cell]
Cu (0.758, 0.244, 0.998) [1 per cell]
Cu (0.758, 0.864, 0.188) [1 per cell]
Cu (0.760, 0.150, 0.804) [1 per cell]
Cu (0.760, 0.967, 0.403) [1 per cell]
Cu (0.762, 0.766, 0.992) [1 per cell]
Cu (0.766, 0.666, 0.799) [1 per cell]
Ag (0.006, 0.298, 0.597) [1 per cell]
Ag (0.008, 0.712, 0.394) [1 per cell]
Ag (0.021, 0.609, 0.189) [1 per cell]
Ag (0.253, 0.250, 0.012) [1 per cell]
Ag (0.262, 0.555, 0.610) [1 per cell]
Ag (0.263, 0.968, 0.401) [1 per cell]
Ag (0.265, 0.150, 0.804) [1 per cell]
Ag (0.505, 0.517, 0.996) [1 per cell]
Ag (0.511, 0.710, 0.389) [1 per cell]
Ag (0.758, 0.557, 0.608) [1 per cell]
Ag (0.763, 0.346, 0.198) [1 per cell]

Results
Crystal system   triclinic

For the records above, the corresponding energy of formation values read 0.1051, 0.0425, 0.0717, 0.0735, 0.0686, 0.0840 eV per atom.